This record from the Alexandria database describes a geometry-optimized BaErUO6 structure. The functional is PBE.

The structure in CIF format:
```
data_BaErUO6
_chemical_formula_sum 'Ba4 Er4 U4 O24'
_space_group_name_H-M_alt 'I m m a'
_space_group_IT_number 74
_space_group_name_Hall '-I 2b 2'
_cell_length_a 7.4536
_cell_length_b 8.0653
_cell_length_c 11.2191
_cell_angle_alpha 90.00
_cell_angle_beta 90.00
_cell_angle_gamma 90.00
loop_
_atom_site_label
_atom_site_type_symbol
_atom_site_fract_x
_atom_site_fract_y
_atom_site_fract_z
_atom_site_occupancy
Ba1 Ba 0.0000 0.2500 0.0722 1
Er1 Er 0.2500 0.2500 0.7500 1
U1 U 0.0000 0.0000 0.5000 1
O1 O 0.0000 0.2500 0.4392 1
O2 O 0.0000 0.2500 0.8497 1
O3 O 0.1999 0.0426 0.6191 1
```

## Properties
size of the total moment: 2.814 Bohr magnetons per cell

---

This record from the Alexandria database describes a geometry-optimized BaEr2UO8 structure. The functional is PBE.

The structure in CIF format:
```
data_BaEr2UO8
_chemical_formula_sum 'Ba1 Er2 U1 O8'
_space_group_name_H-M_alt 'P 1 2/m 1'
_space_group_IT_number 10
_space_group_name_Hall '-P 2y'
_cell_length_a 5.0792
_cell_length_b 7.7160
_cell_length_c 5.0842
_cell_angle_alpha 90.00
_cell_angle_beta 90.13
_cell_angle_gamma 90.00
loop_
_atom_site_label
_atom_site_type_symbol
_atom_site_fract_x
_atom_site_fract_y
_atom_site_fract_z
_atom_site_occupancy
Ba1 Ba 0.0000 0.0000 0.0000 1
Er1 Er 0.5000 0.2880 0.5000 1
U1 U 0.0000 0.5000 0.0000 1
O1 O 0.1868 0.2973 0.1922 1
O2 O 0.3028 0.5000 0.7021 1
O3 O 0.3992 0.0000 0.6109 1
```

## Properties
size of the total moment: 0.000 Bohr magnetons per cell

---

| no. | DFT total energy (eV/atom) | ΔE_f (raw) (meV per atom) | calculated volume (Å³/cell) |
| --- | --- | --- | --- |
| 1 | -8.14 | -2858 | 674.4 |
| 2 | -8.15 | -2980 | 199.3 |